Below is a geometry-optimized Li2BeNi structure, with properties calculated at the PBE level.

* total magnetization: 0.000 μB/cell
* mass density: 2.98 g cm⁻³
* energy of formation from the pure elements: 0.162 eV/atom

a = 3.2014 Å, b = 3.2014 Å, c = 9.1567 Å
α = 79.93°, β = 79.93°, γ = 90.00°
Sites, in units of the cell vectors:
1 Li 0.1277 0.6250 0.2500
2 Li 0.8750 0.8723 0.7500
3 Li 0.6223 0.1250 0.2500
4 Li 0.3750 0.3777 0.7500
5 Ni 0.7500 0.2500 0.5000
6 Ni 0.0000 0.0000 0.0000
7 Be 0.5000 0.5000 0.0000
8 Be 0.2500 0.7500 0.5000